Entry 1:
The following is a PBE-GGA calculation of SbW after structural relaxation, from Alexandria.

Lattice parameters (Å, degrees): 5.181 5.181 7.408 78.40 78.40 36.80
Sites, in units of the cell vectors:
Sb 0.961 0.961 0.025
Sb 0.666 0.666 0.669
Sb 0.646 0.646 0.249
W 0.357 0.357 0.353
W 0.945 0.945 0.610
W 0.258 0.258 0.927

Offset from the most stable computed form, eV/f.u.: 0.66
Uncorrected energy, eV per atom: -7.94
Calculated volume, Å³ per atom: 19.40
SG: Cm
Formation energy without anion corrections, eV per formula unit: 1.2


Entry 2:
The following is a PBE-GGA calculation of Sb4W3 after structural relaxation, from Alexandria.

Lattice parameters (Å, degrees): 14.809 14.809 14.809 167.31 167.31 17.98
Sites, in units of the cell vectors:
Sb 0.837 0.837 0.000
Sb 0.163 0.163 0.000
Sb 0.558 0.558 0.000
Sb 0.442 0.442 0.000
W 0.000 0.000 0.000
W 0.727 0.727 0.000
W 0.273 0.273 0.000

Offset from the most stable computed form, eV/f.u.: 0.00
Uncorrected energy, eV per atom: -7.58
Calculated volume, Å³ per atom: 22.38
SG: I4/mmm
Formation energy without anion corrections, eV per formula unit: 2.3


Question: Number 1 is which compound?
Answer: SbW


Repeat the second record exactly.
The following is a PBE-GGA calculation of Sb4W3 after structural relaxation, from Alexandria.

Lattice parameters (Å, degrees): 14.809 14.809 14.809 167.31 167.31 17.98
Sites, in units of the cell vectors:
Sb 0.837 0.837 0.000
Sb 0.163 0.163 0.000
Sb 0.558 0.558 0.000
Sb 0.442 0.442 0.000
W 0.000 0.000 0.000
W 0.727 0.727 0.000
W 0.273 0.273 0.000

Offset from the most stable computed form, eV/f.u.: 0.00
Uncorrected energy, eV per atom: -7.58
Calculated volume, Å³ per atom: 22.38
SG: I4/mmm
Formation energy without anion corrections, eV per formula unit: 2.3


Question: Which formula does entry 1 have?
Answer: SbW


Question: The lowest formation energy without anion corrections belongs to which entry?
Answer: SbW